(1)
# TiVMo14

A relaxed structure of TiVMo14 (PBE, the Alexandria database).

Cell lengths 6.3043, 8.9270, 8.9137 Å; angles 90.00, 90.00, 90.00 degrees
Closest atoms and distances in Å follow each position.
Space group Cmmm (No. 65)
Asymmetric unit:
Ti 0.0000 0.0000 0.0000 x2  8 Mo 2.73
V 0.0000 0.5000 0.0000 x2  8 Mo 2.72-2.73
Mo 0.0000 0.0000 0.5000 x2  8 Mo 2.73-2.74
Mo 0.0000 0.2499 0.2475 x8  8 Mo 2.71-2.75
Mo 0.0000 0.5000 0.5000 x2  8 Mo 2.73
Mo 0.2485 0.5000 0.2497 x8  1 V 2.72, 6 Mo 2.73-2.74, 1 Ti 2.73
Mo 0.2500 0.2500 0.0000 x4  4 Mo 2.71, 2 Ti 2.73, 2 V 2.73
Mo 0.2500 0.2500 0.5000 x4  8 Mo 2.73-2.75

Results
As for the formation energy: -0.09 eV per atom. The calculation puts the density of states at the Fermi level at 0.54 states/eV/atom. Its calculated volume is 250.8 Å³/f.u.

=====

(2)
# ReSi

A relaxed structure of ReSi (PBE, the Alexandria database).

Cell lengths 2.9885, 3.9796, 9.3216 Å; angles 90.00, 90.00, 90.00 degrees
Closest atoms and distances in Å follow each position.
Space group Imma (No. 74)
Asymmetric unit:
Re 0.0000 0.2500 0.1232 x4  6 Si 2.49-2.64
Si 0.0000 0.2500 0.6108 x4  6 Re 2.49-2.64

Results
Its energy relative to the elements, uncorrected is -0.038 eV/atom. The calculation puts the density of states at the Fermi level at 0.38 states/eV/atom. Its calculated volume is 27.7 Å³/f.u.